No. 1
Below is a geometry-optimized AcInPd structure, with properties calculated at the GGA-PBE level.

The excess energy over the best structure of this formula in the dataset comes out at 241.7 meV/atom. The total energy is -27.1 eV per cell. The calculation puts the calculated formation energy at -0.500 eV/atom.

The structure belongs to space group I4mm (No. 107); the cell edges are 3.6567, 3.6567 and 11.7094 Å and the angles 90.00°, 90.00° and 90.00°. The asymmetric unit holds Ac at (0.0000, 0.0000, 0.0000), In at (0.0000, 0.0000, 0.7087) and Pd at (0.0000, 0.0000, 0.3193).

No. 2
Below is a geometry-optimized Sr2HgTeI structure, with properties calculated at the GGA-PBE level.

The total energy is -10.5 eV per cell. The value obtained for the uncorrected formation energy is -435 meV/atom.

The structure belongs to space group P4/mmm (No. 123); the cell edges are 6.2497, 6.2497 and 5.6117 Å and the angles 90.00°, 90.00° and 90.00°. The asymmetric unit holds Sr at (0.0000, 0.5000, 0.0000), Hg at (0.0000, 0.0000, 0.0000), Te at (0.5000, 0.5000, 0.5000) and I at (0.0000, 0.0000, 0.5000).

No. 3
Below is a geometry-optimized KThUO6 structure, with properties calculated at the GGA-PBE level.

The total energy is -299.6 eV per cell. The value obtained for the uncorrected formation energy is -2817 meV/atom.

The structure belongs to space group Imma (No. 74); the cell edges are 8.0835, 8.1704 and 11.6897 Å and the angles 90.00°, 90.00° and 90.00°. The asymmetric unit holds K at (0.0000, 0.2500, 0.0657), Th at (0.2500, 0.2500, 0.7500), U at (0.0000, 0.0000, 0.5000), O at (0.0000, 0.2500, 0.4477), O at (0.0000, 0.2500, 0.8310) and O at (0.1828, 0.0521, 0.6150).

No. 4
Below is a geometry-optimized AcZnGaPd6 structure, with properties calculated at the GGA-PBE level.

The total energy is -169.6 eV per cell. The calculation puts the calculated formation energy at -0.315 eV/atom.

The structure belongs to space group Imma (No. 74); the cell edges are 6.8295, 9.4197 and 11.2686 Å and the angles 90.00°, 90.00° and 90.00°. The asymmetric unit holds Ac at (0.0000, 0.2500, 0.1653), Zn at (0.2500, 0.2500, 0.7500), Ga at (0.0000, 0.0000, 0.5000), Pd at (0.0000, 0.2500, 0.4231), Pd at (0.0000, 0.2500, 0.9120) and Pd at (0.2160, 0.0118, 0.8714).

No. 5
Below is a geometry-optimized Ho4CdNiAg2 structure, with properties calculated at the GGA-PBE level.

The total energy is -100.2 eV per cell. The calculation puts the calculated formation energy at -0.335 eV/atom.

The structure belongs to space group R-3m (No. 166, hexagonal axes); the cell edges are 5.0842, 5.0842 and 24.7127 Å and the angles 90.00°, 90.00° and 120.00°. The asymmetric unit holds Ho at (0.0000, 0.0000, 0.1157), Ho at (0.0000, 0.0000, 0.3680), Cd at (0.0000, 0.0000, 0.5000), Ni at (0.0000, 0.0000, 0.0000) and Ag at (0.0000, 0.0000, 0.2427).

No. 6
Below is a geometry-optimized TaTi6Re5 structure, with properties calculated at the GGA-PBE level.

The total energy is -250.3 eV per cell. The calculation puts the calculated formation energy at -0.306 eV/atom.

The structure belongs to space group Cmmm (No. 65); the cell edges are 4.4234, 13.3005 and 6.3159 Å and the angles 90.00°, 90.00° and 90.00°. The asymmetric unit holds Ta at (0.0000, 0.0000, 0.0000), Ti at (0.0000, 0.1708, 0.2554), Ti at (0.0000, 0.5000, 0.2611), Re at (0.0000, 0.0000, 0.5000), Re at (0.0000, 0.3331, 0.5000) and Re at (0.0000, 0.3380, 0.0000).

No. 7
Below is a geometry-optimized Li2ReNi6 structure, with properties calculated at the GGA-PBE level.

The total energy is -200.9 eV per cell. The calculation puts the calculated formation energy at 0.082 eV/atom.

The structure belongs to space group C2/c (No. 15); the cell edges are 8.2522, 11.6845 and 4.4667 Å and the angles 90.00°, 104.03° and 90.00°. The asymmetric unit holds Li at (0.1553, 0.0025, 0.3601), Re at (0.0000, 0.4359, 0.2500), Ni at (0.0582, 0.1933, 0.0325), Ni at (0.1464, 0.3646, 0.7976) and Ni at (0.2391, 0.1739, 0.6556).

No. 8
Below is a geometry-optimized CaInNiAg structure, with properties calculated at the GGA-PBE level.

The total energy is -55.9 eV per cell. The calculation puts the calculated formation energy at -0.152 eV/atom.

The structure belongs to space group F-43m (No. 216); the cell edges are 6.8156, 6.8156 and 6.8156 Å and the angles 90.00°, 90.00° and 90.00°. The asymmetric unit holds Ca at (0.0000, 0.0000, 0.0000), In at (0.0000, 0.0000, 0.5000), Ni at (0.2500, 0.2500, 0.2500) and Ag at (0.2500, 0.2500, 0.7500).